Entry 1:
LaSm5Er2Sc: relaxed, PBE-GGA.

```
18
Lattice="-4.4286 -2.6018 -2.3461 -0.0706 -2.7704 10.0011 -6.0363 8.2517 2.2432" Properties=species:S:1:pos:R:3 pbc="T T T"
La -8.3720 5.8782 2.4889
La -4.6378 0.3838 8.3288
Sm -1.8357 -2.8970 6.6778
Sm -8.1907 3.6649 4.6013
Sm -6.6823 2.1765 10.2000
Sm -5.6221 3.4046 6.8367
Sm -7.5514 -0.9378 8.4988
Sm -5.9191 1.9753 2.1870
Sm -3.2081 0.3949 5.6177
Sm -3.7437 0.5534 -0.3425
Sm -4.3841 -1.2486 2.8648
Sm -0.2004 0.0121 0.3650
Er -8.8931 2.2508 7.4953
Er -4.9613 5.1265 3.6799
Er -2.4024 1.6678 2.6853
Er -5.3907 -2.4977 6.1501
Sc -6.7032 0.4614 5.3460
Sc -0.9774 -1.4845 3.4913
```

## Properties
Size of the total moment in μB per formula unit: 0.00
Energy in eV/atom: -4.716

***

Entry 2:
La2Sm3Er6Sc: relaxed, PBE-GGA.

```
12
Lattice="6.1611 -0.0009 0.0074 -3.0798 5.3361 0.0074 -1.0384 -1.7979 11.5684" Properties=species:S:1:pos:R:3 pbc="T T T"
La 0.0074 3.5531 0.0074
La 3.0739 1.7821 0.0074
Sm -2.0591 3.5477 5.7916
Sm 4.1020 -0.0105 5.7916
Sm 1.0214 1.7686 5.7916
Er 3.0622 1.7835 8.6856
Er 2.0608 3.5682 2.9111
Er -1.0194 1.7538 2.8976
Er 0.0144 3.5437 8.6856
Er -0.0179 -0.0310 8.6721
Er 2.0285 -0.0065 2.8976
Sc 0.0000 0.0000 0.0000
```

## Properties
Size of the total moment in μB per formula unit: 0.00
Energy in eV/atom: -4.783

***

Entry 3:
La4Sm2ErSc: relaxed, PBE-GGA.

```
8
Lattice="-2.1671 -4.7178 -0.3189 3.9368 -1.6084 -2.9451 8.9073 -4.4444 5.2442" Properties=species:S:1:pos:R:3 pbc="T T T"
La 7.4462 -9.2457 1.3688
La 3.2308 -1.5248 0.6113
La 4.1154 -4.6872 -1.0270
La 6.5616 -6.0834 3.0072
Sm 8.9073 -4.4444 5.2442
Sm 3.3701 -4.5811 2.4626
Er 9.7922 -7.6075 3.6122
Sc 6.4221 -3.0264 1.1496
```

## Properties
Size of the total moment in μB per formula unit: 0.00
Energy in eV/atom: -4.976

***

Entry 4:
La6Sm2ErSc: relaxed, PBE-GGA.

```
10
Lattice="-3.8914 6.4473 -4.5742 -6.1673 -3.4575 0.3733 2.5400 3.3002 5.3863" Properties=species:S:1:pos:R:3 pbc="T T T"
La -4.7695 1.2345 -0.2194
La 0.3997 3.2609 2.7093
La -4.7866 4.7848 -1.7134
La -2.7322 1.5052 2.8989
La -7.9184 3.0291 -1.5239
La -2.7492 5.0555 1.4049
Sm -0.7631 1.3937 0.3004
Sm -6.7556 4.8964 0.8851
Er -1.9457 3.2237 -2.2871
Sc -3.0837 -1.7288 0.1867
```

## Properties
Size of the total moment in μB per formula unit: 0.00
Energy in eV/atom: -4.779